(1)
The following is a GGA-PBE calculation of an optimized crystal structure of Sr3GeH, from Alexandria via LeMat-Bulk.

a b c (Å): 7.373 7.149 11.291
angles (deg): 90.00 97.29 90.00
Fractional coordinates of all 20 atoms:
Sr (0.081, 0.035, 0.163)
Sr (0.081, 0.465, 0.663)
Sr (0.234, 0.528, 0.072)
Sr (0.234, 0.972, 0.572)
Sr (0.401, 0.159, 0.877)
Sr (0.401, 0.341, 0.377)
Sr (0.599, 0.659, 0.623)
Sr (0.599, 0.841, 0.123)
Sr (0.766, 0.028, 0.428)
Sr (0.766, 0.472, 0.928)
Sr (0.919, 0.535, 0.337)
Sr (0.919, 0.965, 0.837)
Ge (0.360, 0.720, 0.846)
Ge (0.360, 0.780, 0.346)
Ge (0.640, 0.220, 0.654)
Ge (0.640, 0.280, 0.154)
H (0.083, 0.235, 0.964)
H (0.083, 0.265, 0.464)
H (0.917, 0.735, 0.536)
H (0.917, 0.765, 0.036)

Properties
For the mass density, the calculation gives 3.79 g/cm³. As for the energy above the most stable polymorph in this dataset: 0 meV per atom.

(2)
The following is a GGA-PBE calculation of an optimized crystal structure of SrTlGe2H, from Alexandria via LeMat-Bulk.

a b c (Å): 5.827 5.827 6.622
angles (deg): 90.00 90.00 90.00
Fractional coordinates of all 5 atoms:
Sr (0.000, 0.000, 0.000)
Tl (0.000, 0.000, 0.500)
Ge (0.000, 0.500, 0.000)
Ge (0.500, 0.000, 0.000)
H (0.500, 0.500, 0.500)

Properties
For the energy, the calculation gives -2.001 eV per atom. For the mass density, the calculation gives 3.24 g/cm³.